# Mg8Tl2Sn

A relaxed structure of Mg8Tl2Sn (PBE, Alexandria).

abc: 16.4340 4.5034 7.3317
angles: 90.00 107.27 90.00
Space group C2/m (No. 12)
Inequivalent atoms, fractional coordinates:
Mg 0.0410 0.0000 0.2299 (multiplicity 4)
Mg 0.0910 0.5000 0.9571 (multiplicity 4)
Mg 0.1403 0.0000 0.6877 (multiplicity 4)
Mg 0.1781 0.5000 0.4139 (multiplicity 4)
Tl 0.2189 0.0000 0.1533 (multiplicity 4)
Sn 0.0000 0.5000 0.5000 (multiplicity 2)

Summary:
ΔH_f (0 K)   -0.054 eV/atom